i | VASP calculation (PBE-GGA) on a geometry-optimized SrLiSb3 structure.

Unit cell a=6.0386 b=6.0386 c=6.0386 alpha=90.00 beta=90.00 gamma=90.00
Element x y z (fractional)
Sr 0.0000 0.0000 0.0000
Li 0.5000 0.5000 0.5000
Sb 0.0000 0.0000 0.5000
Sb 0.0000 0.5000 0.0000
Sb 0.5000 0.0000 0.0000

Fermi-level density of states in states/eV/cell: 2.640

ii | VASP calculation (PBE-GGA) on a geometry-optimized SrLiSb3 structure.

Unit cell a=5.2029 b=5.2029 c=5.2029 alpha=90.00 beta=90.00 gamma=90.00
Element x y z (fractional)
Sr 0.0000 0.0000 0.0000
Li 0.5000 0.5000 0.5000
Sb 0.0000 0.5000 0.5000
Sb 0.5000 0.0000 0.5000
Sb 0.5000 0.5000 0.0000

Fermi-level density of states in states/eV/cell: 2.603

Stability summary - winner: ii; margin: 0.790 eV/atom.

i | VASP calculation (PBE-GGA) on a geometry-optimized SrLiSbTe2 structure.

Unit cell a=6.1793 b=6.1793 c=6.0823 alpha=90.00 beta=90.00 gamma=90.00
Element x y z (fractional)
Sr 0.0000 0.0000 0.0000
Li 0.5000 0.5000 0.5000
Sb 0.0000 0.0000 0.5000
Te 0.0000 0.5000 0.0000
Te 0.5000 0.0000 0.0000

Fermi-level density of states in states/eV/cell: 6.581

ii | VASP calculation (PBE-GGA) on a geometry-optimized SrLiSbTe2 structure.

Unit cell a=5.5049 b=5.5049 c=4.8792 alpha=90.00 beta=90.00 gamma=90.00
Element x y z (fractional)
Sr 0.0000 0.0000 0.0000
Li 0.5000 0.5000 0.5000
Sb 0.5000 0.5000 0.0000
Te 0.0000 0.5000 0.5000
Te 0.5000 0.0000 0.5000

Fermi-level density of states in states/eV/cell: 3.292

Stability summary - winner: ii; margin: 0.609 eV/atom.

i | VASP calculation (PBE-GGA) on a geometry-optimized SrLiSb2Te structure.

Unit cell a=5.0628 b=5.0628 c=5.6500 alpha=90.00 beta=90.00 gamma=90.00
Element x y z (fractional)
Sr 0.0000 0.0000 0.0000
Li 0.5000 0.5000 0.5000
Sb 0.0000 0.5000 0.5000
Sb 0.5000 0.0000 0.5000
Te 0.5000 0.5000 0.0000

Fermi-level density of states in states/eV/cell: 3.758

ii | VASP calculation (PBE-GGA) on a geometry-optimized SrLiSb2Te structure.

Unit cell a=6.0862 b=6.0862 c=6.1240 alpha=90.00 beta=90.00 gamma=90.00
Element x y z (fractional)
Sr 0.0000 0.0000 0.0000
Li 0.5000 0.5000 0.5000
Sb 0.0000 0.5000 0.0000
Sb 0.5000 0.0000 0.0000
Te 0.0000 0.0000 0.5000

Fermi-level density of states in states/eV/cell: 5.105

Stability summary - winner: i; margin: 0.691 eV/atom.

i | VASP calculation (PBE-GGA) on a geometry-optimized LiTaSb2 structure.

Unit cell a=4.9377 b=4.9377 c=4.9377 alpha=60.00 beta=60.00 gamma=60.00
Element x y z (fractional)
Li 0.0000 0.0000 0.0000
Ta 0.2500 0.2500 0.2500
Sb 0.5000 0.5000 0.5000
Sb 0.7500 0.7500 0.7500

Fermi-level density of states in states/eV/cell: 2.205

ii | VASP calculation (PBE-GGA) on a geometry-optimized LiTaSb2 structure.

Unit cell a=5.1082 b=5.1082 c=5.1082 alpha=134.09 beta=120.55 gamma=78.22
Element x y z (fractional)
Li 0.0000 0.0000 0.0000
Ta 0.5000 0.5000 0.0000
Sb 0.2337 0.7337 0.5000
Sb 0.7663 0.2663 0.5000

Fermi-level density of states in states/eV/cell: 2.817

Stability summary - winner: ii; margin: 0.454 eV/atom.

i | VASP calculation (PBE-GGA) on a geometry-optimized LiTaSb2 structure.

Unit cell a=3.0019 b=3.0019 c=10.5920 alpha=90.00 beta=90.00 gamma=100.89
Element x y z (fractional)
Li 0.0000 0.0000 0.0000
Ta 0.5000 0.5000 0.2137
Sb 0.0000 0.0000 0.4226
Sb 0.5000 0.5000 0.7959

Fermi-level density of states in states/eV/cell: 2.475

ii | VASP calculation (PBE-GGA) on a geometry-optimized LiTaSb2 structure.

Unit cell a=8.6682 b=8.6682 c=8.6682 alpha=23.29 beta=23.29 gamma=23.29
Element x y z (fractional)
Li 0.0000 0.0000 0.0000
Ta 0.5000 0.5000 0.5000
Sb 0.2455 0.2455 0.2455
Sb 0.7545 0.7545 0.7545

Fermi-level density of states in states/eV/cell: 1.581

Stability summary - winner: ii; margin: 0.313 eV/atom.

i | VASP calculation (PBE-GGA) on a geometry-optimized LiTaSb3 structure.

Unit cell a=4.8937 b=4.8937 c=4.8937 alpha=90.00 beta=90.00 gamma=90.00
Element x y z (fractional)
Li 0.0000 0.0000 0.0000
Ta 0.5000 0.5000 0.5000
Sb 0.0000 0.0000 0.5000
Sb 0.0000 0.5000 0.0000
Sb 0.5000 0.0000 0.0000

Fermi-level density of states in states/eV/cell: 5.402

ii | VASP calculation (PBE-GGA) on a geometry-optimized LiTaSb3 structure.

Unit cell a=5.3996 b=5.3996 c=5.3996 alpha=90.00 beta=90.00 gamma=90.00
Element x y z (fractional)
Li 0.0000 0.0000 0.0000
Ta 0.5000 0.5000 0.5000
Sb 0.0000 0.5000 0.5000
Sb 0.5000 0.0000 0.5000
Sb 0.5000 0.5000 0.0000

Fermi-level density of states in states/eV/cell: 2.121

Stability summary - winner: ii; margin: 0.634 eV/atom.